Sr2GaI2 | GGA-PBE | optimized geometry

Lattice parameters (Å, degrees): 9.4796 9.4796 4.0407 90.00 90.00 90.00
With the nearest neighbours (Å) after each atom.
Fractional positions:
Sr 0.1711 0.3289 0.0000  6 I 3.32-3.54
Sr 0.3289 0.8289 0.0000  6 I 3.32-3.54
Sr 0.6711 0.1711 0.0000  6 I 3.32-3.54
Sr 0.8289 0.6711 0.0000  6 I 3.32-3.54
Ga 0.0000 0.0000 0.5000  4 I 3.70, 2 Ga 4.04, 8 Sr 4.05
Ga 0.5000 0.5000 0.5000  4 I 3.70, 2 Ga 4.04, 8 Sr 4.05
I 0.1328 0.6328 0.5000  6 Sr 3.32-3.54, 1 I 3.56, 2 Ga 3.70
I 0.3672 0.1328 0.5000  6 Sr 3.32-3.54, 1 I 3.56, 2 Ga 3.70
I 0.6328 0.8672 0.5000  6 Sr 3.32-3.54, 1 I 3.56, 2 Ga 3.70
I 0.8672 0.3672 0.5000  6 Sr 3.32-3.54, 1 I 3.56, 2 Ga 3.70

Properties
total energy	-2.592	eV per atom
magnetic moment	0.00	Bohr magnetons per cell